Record 1
Entry from Alexandria via LeMat-Bulk: a relaxed structure of LiCaBCl (GGA-PBE).

Volume (Å³/f.u.): 73
Energy relative to the elements, uncorrected (eV/f.u.): -1.0
Energy relative to the lowest polymorph listed for this composition (eV per atom): 0.000
Space-group type: Amm2
Magnetization (μB per formula unit): 0.54

Lattice parameters (Å, degrees): 3.2136 7.0774 7.0774 27.03 90.00 90.00
With the nearest neighbours (Å) after each atom.
Fractional coordinates of all 4 atoms:
Li: 0.0000 0.0000 0.0000  2 Cl 2.57, 4 B 2.72
Ca: 0.0000 0.7819 0.7819  4 B 2.78, 4 Cl 2.97, 1 Li 3.00
B: 0.5000 0.3951 0.3951  4 Li 2.72, 4 Ca 2.78
Cl: 0.5000 0.1460 0.1460  2 Li 2.57

Record 2
Entry from Alexandria via LeMat-Bulk: a relaxed structure of Y4Ag3 (GGA-PBE).

Volume (Å³/f.u.): 177
Energy of formation from the pure elements (eV/atom): -0.100
Energy relative to the lowest polymorph listed for this composition (eV per atom): 0.103
Space-group type: P6/mmm
Magnetization (μB per formula unit): 0.00

Lattice parameters (Å, degrees): 5.7633 5.7633 6.1424 90.00 90.00 120.00
With the nearest neighbours (Å) after each atom.
Fractional coordinates of all 7 atoms:
Y: 0.0000 0.0000 0.2501  2 Y 3.07, 6 Ag 3.26
Y: 0.0000 0.0000 0.7499  2 Y 3.07, 6 Ag 3.26
Y: 0.3333 0.6667 0.0000  9 Y 3.33-3.67, 6 Ag 3.49
Y: 0.6667 0.3333 0.0000  9 Y 3.33-3.67, 6 Ag 3.49
Ag: 0.0000 0.5000 0.5000  4 Ag 2.88
Ag: 0.5000 0.0000 0.5000  4 Ag 2.88
Ag: 0.5000 0.5000 0.5000  4 Ag 2.88

Record 3
Entry from Alexandria via LeMat-Bulk: a relaxed structure of Ho4Ag2HgRu (GGA-PBE).

Volume (Å³/f.u.): 183
Energy of formation from the pure elements (eV/atom): -0.408
Space-group type: R-3m
Magnetization (μB per formula unit): 0.00

Lattice parameters (Å, degrees): 8.7144 8.7144 8.7144 33.88 33.88 33.88
With the nearest neighbours (Å) after each atom.
Fractional coordinates of all 8 atoms:
Ho: 0.1164 0.1164 0.1164  1 Ru 2.87, 4 Ag 3.02-3.18, 3 Hg 3.18
Ho: 0.3685 0.3685 0.3685  4 Ag 3.02-3.20, 3 Ru 3.06, 1 Hg 3.24
Ho: 0.6315 0.6315 0.6315  4 Ag 3.02-3.20, 3 Ru 3.06, 1 Hg 3.24
Ho: 0.8836 0.8836 0.8836  1 Ru 2.87, 4 Ag 3.02-3.18, 3 Hg 3.18
Ag: 0.2457 0.2457 0.2457  8 Ho 3.02-3.20
Ag: 0.7543 0.7543 0.7543  8 Ho 3.02-3.20
Hg: 0.5000 0.5000 0.5000  8 Ho 3.18-3.24, 6 Ag 3.52
Ru: 0.0000 0.0000 0.0000  8 Ho 2.87-3.06

Record 4
Entry from Alexandria via LeMat-Bulk: a relaxed structure of K2Sc2MnS6 (GGA-PBE).

Volume (Å³/f.u.): 261
Energy relative to the elements, uncorrected (eV/f.u.): -15.4
Space-group type: C2/m
Magnetization (μB per formula unit): 3.00

Lattice parameters (Å, degrees): 6.3296 6.3296 7.8154 98.23 98.23 119.53
With the nearest neighbours (Å) after each atom.
Fractional coordinates of all 11 atoms:
K: 0.1714 0.8286 0.0000  6 S 3.15-3.22
K: 0.8286 0.1714 0.0000  6 S 3.15-3.22
Sc: 0.3326 0.6674 0.5000  6 S 2.58-2.59
Sc: 0.6674 0.3326 0.5000  6 S 2.58-2.59
Mn: 0.0000 0.0000 0.5000  6 S 2.40
S: 0.0659 0.3756 0.6841  1 Mn 2.40, 2 Sc 2.58-2.59
S: 0.2462 0.2462 0.3176  1 Mn 2.40, 2 Sc 2.59
S: 0.3756 0.0659 0.6841  1 Mn 2.40, 2 Sc 2.58-2.59
S: 0.6244 0.9341 0.3159  1 Mn 2.40, 2 Sc 2.58-2.59
S: 0.7538 0.7538 0.6824  1 Mn 2.40, 2 Sc 2.59
S: 0.9341 0.6244 0.3159  1 Mn 2.40, 2 Sc 2.58-2.59

Record 5
Entry from Alexandria via LeMat-Bulk: a relaxed structure of ScV4Ru (GGA-PBE).

Volume (Å³/f.u.): 89
Energy of formation from the pure elements (eV/atom): -0.030
Space-group type: F-43m
Magnetization (μB per formula unit): 0.00

Lattice parameters (Å, degrees): 5.0087 5.0087 5.0087 60.00 60.00 60.00
With the nearest neighbours (Å) after each atom.
Fractional coordinates of all 6 atoms:
Sc: 0.0000 0.0000 0.0000  12 V 2.94, 4 Ru 3.07
V: 0.1240 0.6253 0.6253  6 V 2.50-2.51
V: 0.6253 0.1240 0.6253  6 V 2.50-2.51
V: 0.6253 0.6253 0.1240  6 V 2.50-2.51
V: 0.6253 0.6253 0.6253  6 V 2.50-2.51
Ru: 0.2500 0.2500 0.2500  12 V 2.94, 4 Sc 3.07

Record 6
Entry from Alexandria via LeMat-Bulk: a relaxed structure of PrDy3Tm6 (GGA-PBE).

Volume (Å³/f.u.): 318
Energy of formation from the pure elements (eV/atom): 0.299
Energy relative to the lowest polymorph listed for this composition (eV per atom): 0.150
Space-group type: R3
Magnetization (μB per formula unit): 0.00

Lattice parameters (Å, degrees): 6.8244 6.8244 6.8244 91.20 91.20 91.20
With the nearest neighbours (Å) after each atom.
Fractional coordinates of all 10 atoms:
Pr: 0.0000 0.0000 0.0000  2 Dy 2.92-2.93, 3 Tm 3.25
Dy: 0.2536 0.2536 0.2536  1 Dy 2.85, 1 Pr 2.93
Dy: 0.5002 0.5002 0.5002  2 Dy 2.85-2.86
Dy: 0.7474 0.7474 0.7474  1 Dy 2.86, 1 Pr 2.92
Tm: 0.1694 0.8293 0.4988  3 Dy 3.22-3.42
Tm: 0.3332 0.6659 0.9991  1 Pr 3.25, 2 Dy 3.38
Tm: 0.4988 0.1694 0.8293  3 Dy 3.22-3.42
Tm: 0.6659 0.9991 0.3332  1 Pr 3.25, 2 Dy 3.38
Tm: 0.8293 0.4988 0.1694  3 Dy 3.22-3.42
Tm: 0.9991 0.3332 0.6659  1 Pr 3.25, 2 Dy 3.38

Record 7
Entry from Alexandria via LeMat-Bulk: a relaxed structure of PrNdTh2S4 (GGA-PBE).

Volume (Å³/f.u.): 190
Energy relative to the elements, uncorrected (eV/f.u.): -15.4
Space-group type: P2/m
Magnetization (μB per formula unit): 0.00

Lattice parameters (Å, degrees): 6.9878 4.0774 7.0604 90.00 109.46 90.00
With the nearest neighbours (Å) after each atom.
Fractional coordinates of all 8 atoms:
Pr: 0.0000 0.0000 0.0000  6 S 2.88-2.89
Nd: 0.5000 0.5000 0.0000  6 S 2.87-2.88
Th: 0.0000 0.5000 0.5000  6 S 2.87
Th: 0.5000 0.0000 0.5000  6 S 2.85-2.86
S: 0.2507 0.0000 0.7484  3 Th 2.85-2.87, 2 Nd 2.88, 1 Pr 2.88
S: 0.2522 0.5000 0.2525  3 Th 2.86-2.87, 1 Nd 2.87, 2 Pr 2.89
S: 0.7478 0.5000 0.7475  3 Th 2.86-2.87, 1 Nd 2.87, 2 Pr 2.89
S: 0.7493 0.0000 0.2516  3 Th 2.85-2.87, 2 Nd 2.88, 1 Pr 2.88

Record 8
Entry from Alexandria via LeMat-Bulk: a relaxed structure of PmPrFeC (GGA-PBE).

Volume (Å³/f.u.): 82
Energy of formation from the pure elements (eV/atom): 0.512
Space-group type: P4/nmm
Magnetization (μB per formula unit): 0.00

Lattice parameters (Å, degrees): 3.8193 3.8193 11.2271 90.00 90.00 90.00
With the nearest neighbours (Å) after each atom.
Fractional coordinates of all 8 atoms:
Pm: 0.2500 0.2500 0.1935  4 Fe 2.89, 5 C 2.96-3.03
Pm: 0.7500 0.7500 0.8065  4 Fe 2.89, 5 C 2.96-3.03
Pr: 0.2500 0.7500 0.5000  4 Pr 2.70
Pr: 0.7500 0.2500 0.5000  4 Pr 2.70
Fe: 0.2500 0.7500 0.0000  4 C 2.07
Fe: 0.7500 0.2500 0.0000  4 C 2.07
C: 0.2500 0.2500 0.9296  4 Fe 2.07
C: 0.7500 0.7500 0.0704  4 Fe 2.07

Record 9
Entry from Alexandria via LeMat-Bulk: a relaxed structure of LaRe4Si4 (GGA-PBE).

Volume (Å³/f.u.): 156
Energy relative to the elements, uncorrected (eV/f.u.): -2.9
Space-group type: P4_2/n
Magnetization (μB per formula unit): 0.00

Lattice parameters (Å, degrees): 8.1886 8.1886 4.6540 90.00 90.00 90.00
With the nearest neighbours (Å) after each atom.
Fractional coordinates of all 18 atoms:
La: 0.2500 0.2500 0.2500  4 Re 3.27, 8 Si 3.30-3.36
La: 0.7500 0.7500 0.7500  4 Re 3.27, 8 Si 3.30-3.36
Re: 0.1284 0.6277 0.1639  4 Si 2.37-2.45
Re: 0.1277 0.8716 0.6639  4 Si 2.37-2.45
Re: 0.3723 0.6284 0.6639  4 Si 2.37-2.45
Re: 0.3716 0.8723 0.1639  4 Si 2.37-2.45
Re: 0.6284 0.1277 0.8361  4 Si 2.37-2.45
Re: 0.6277 0.3716 0.3361  4 Si 2.37-2.45
Re: 0.8723 0.1284 0.3361  4 Si 2.37-2.45
Re: 0.8716 0.3723 0.8361  4 Si 2.37-2.45
Si: 0.0467 0.9055 0.1679  1 Si 2.33, 4 Re 2.37-2.45
Si: 0.0945 0.5467 0.6679  1 Si 2.33, 4 Re 2.37-2.45
Si: 0.4055 0.9533 0.6679  1 Si 2.33, 4 Re 2.37-2.45
Si: 0.4533 0.5945 0.1679  1 Si 2.33, 4 Re 2.37-2.45
Si: 0.5467 0.4055 0.8321  1 Si 2.33, 4 Re 2.37-2.45
Si: 0.5945 0.0467 0.3321  1 Si 2.33, 4 Re 2.37-2.45
Si: 0.9055 0.4533 0.3321  1 Si 2.33, 4 Re 2.37-2.45
Si: 0.9533 0.0945 0.8321  1 Si 2.33, 4 Re 2.37-2.45

Record 10
Entry from Alexandria via LeMat-Bulk: a relaxed structure of ZnGaC3 (GGA-PBE).

Volume (Å³/f.u.): 64
Energy of formation from the pure elements (eV/atom): 2.688
Energy relative to the lowest polymorph listed for this composition (eV per atom): 0.000
Space-group type: Pm-3m
Magnetization (μB per formula unit): 0.00

Lattice parameters (Å, degrees): 4.0090 4.0090 4.0090 90.00 90.00 90.00
With the nearest neighbours (Å) after each atom.
Fractional coordinates of all 5 atoms:
Zn: 0.0000 0.0000 0.0000  12 C 2.83
Ga: 0.5000 0.5000 0.5000  6 C 2.00
C: 0.0000 0.5000 0.5000  2 Ga 2.00
C: 0.5000 0.0000 0.5000  2 Ga 2.00
C: 0.5000 0.5000 0.0000  2 Ga 2.00

Record 11
Entry from Alexandria via LeMat-Bulk: a relaxed structure of NpGa7Pd2 (GGA-PBE).

Volume (Å³/f.u.): 211
Energy of formation from the pure elements (eV/atom): -0.065
Space-group type: Cmmm
Magnetization (μB per formula unit): 5.03

Lattice parameters (Å, degrees): 6.8539 6.8539 4.5208 90.00 90.00 97.24
With the nearest neighbours (Å) after each atom.
Fractional coordinates of all 10 atoms:
Np: 0.0000 0.0000 0.0000  10 Ga 3.34-3.67, 4 Pd 3.43
Ga: 0.1112 0.3552 0.5000  2 Pd 2.49-2.75, 3 Ga 2.51-2.72
Ga: 0.3552 0.1112 0.5000  2 Pd 2.49-2.75, 3 Ga 2.51-2.72
Ga: 0.3565 0.6435 0.0000  2 Pd 2.51, 2 Ga 2.70
Ga: 0.5000 0.5000 0.5000  2 Pd 2.56, 8 Ga 2.70-2.72
Ga: 0.6435 0.3565 0.0000  2 Pd 2.51, 2 Ga 2.70
Ga: 0.6448 0.8888 0.5000  2 Pd 2.49-2.75, 3 Ga 2.51-2.72
Ga: 0.8888 0.6448 0.5000  2 Pd 2.49-2.75, 3 Ga 2.51-2.72
Pd: 0.2507 0.7493 0.5000  7 Ga 2.49-2.75
Pd: 0.7493 0.2507 0.5000  7 Ga 2.49-2.75

Record 12
Entry from Alexandria via LeMat-Bulk: a relaxed structure of Li6CaAg2 (GGA-PBE).

Volume (Å³/f.u.): 188
Energy of formation from the pure elements (eV/atom): -0.117
Space-group type: P4/mmm
Magnetization (μB per formula unit): 0.00

Lattice parameters (Å, degrees): 4.2414 4.2414 10.4290 90.00 90.00 90.00
With the nearest neighbours (Å) after each atom.
Fractional coordinates of all 9 atoms:
Li: 0.0000 0.0000 0.0000  12 Li 3.00-3.03
Li: 0.0000 0.5000 0.2074  2 Ag 2.69, 4 Li 3.00
Li: 0.0000 0.5000 0.7926  2 Ag 2.69, 4 Li 3.00
Li: 0.5000 0.0000 0.2074  2 Ag 2.69, 4 Li 3.00
Li: 0.5000 0.0000 0.7926  2 Ag 2.69, 4 Li 3.00
Li: 0.5000 0.5000 0.0000  12 Li 3.00-3.03
Ca: 0.0000 0.0000 0.5000  8 Ag 3.31
Ag: 0.5000 0.5000 0.3668  4 Li 2.69, 1 Ag 2.78
Ag: 0.5000 0.5000 0.6332  4 Li 2.69, 1 Ag 2.78